[1]
Pm3Al2Cu7 | PBE | optimized geometry

Geometry as CIF:
```
data_Pm3Al2Cu7
_cell_length_a 5.3402
_cell_length_b 5.3402
_cell_length_c 25.0383
_cell_angle_alpha 90.00
_cell_angle_beta 90.00
_cell_angle_gamma 120.00
_symmetry_space_group_name_H-M 'R -3 m'
_symmetry_Int_Tables_number 166
_symmetry_space_group_name_Hall '-R 3 2"'
loop_
_atom_site_label
_atom_site_type_symbol
_atom_site_fract_x
_atom_site_fract_y
_atom_site_fract_z
Pm1 Pm 0.0000 0.0000 0.0000
Pm2 Pm 0.0000 0.0000 0.1418
Al1 Al 0.0000 0.0000 0.3326
Cu1 Cu 0.0000 0.0000 0.5000
Cu2 Cu 0.0017 0.5009 0.0810
```

[2]
Pm6Al2Cu | PBE | optimized geometry

Geometry as CIF:
```
data_Pm6Al2Cu
_cell_length_a 15.946
_cell_length_b 7.297
_cell_length_c 5.069
_cell_angle_alpha 90.00
_cell_angle_beta 108.40
_cell_angle_gamma 90.00
_symmetry_space_group_name_H-M 'C 1 2/m 1'
_symmetry_Int_Tables_number 12
loop_
_symmetry_equiv_pos_as_xyz
'x,y,z'
'-x,-y,-z'
'-x,y,-z'
'x,-y,z'
'x+1/2,y+1/2,z'
'-x+1/2,-y+1/2,-z'
'-x+1/2,y+1/2,-z'
'x+1/2,-y+1/2,z'
loop_
_atom_site_label
_atom_site_type_symbol
_atom_site_fract_x
_atom_site_fract_y
_atom_site_fract_z
Pm1 Pm 0.000 0.240 0.000
Pm2 Pm 0.162 0.245 0.662
Al1 Al 0.166 0.500 0.166
Cu1 Cu 0.000 0.000 0.500
```

[3]
Pm3Al6Cu5 | PBE | optimized geometry

Geometry as CIF:
```
data_Pm3Al6Cu5
_cell_length_a 4.363
_cell_length_b 13.093
_cell_length_c 8.861
_cell_angle_alpha 90.00
_cell_angle_beta 90.00
_cell_angle_gamma 90.00
_symmetry_space_group_name_H-M 'P m m n'
_symmetry_Int_Tables_number 59
loop_
_symmetry_equiv_pos_as_xyz
'x,y,z'
'-x,-y,-z'
'-x+1/2,-y+1/2,z'
'x+1/2,y+1/2,-z'
'x+1/2,-y,-z'
'-x+1/2,y,z'
'-x,y+1/2,-z'
'x,-y+1/2,z'
loop_
_atom_site_label
_atom_site_type_symbol
_atom_site_fract_x
_atom_site_fract_y
_atom_site_fract_z
Pm1 Pm 0.250 0.041 0.247
Pm2 Pm 0.250 0.750 0.269
Al1 Al 0.250 0.087 0.600
Al2 Al 0.250 0.250 0.059
Al3 Al 0.250 0.250 0.415
Al4 Al 0.250 0.609 0.973
Cu1 Cu 0.250 0.095 0.886
Cu2 Cu 0.250 0.619 0.543
Cu3 Cu 0.250 0.750 0.764
```

[4]
PmAl2Cu2 | PBE | optimized geometry

Geometry as CIF:
```
data_PmAl2Cu2
_cell_length_a 4.218
_cell_length_b 4.218
_cell_length_c 10.154
_cell_angle_alpha 90.00
_cell_angle_beta 90.00
_cell_angle_gamma 90.00
_symmetry_space_group_name_H-M 'P 4/n m m'
_symmetry_Int_Tables_number 129
loop_
_symmetry_equiv_pos_as_xyz
'x,y,z'
'-x,-y,-z'
'-y+1/2,x,z'
'y+1/2,-x,-z'
'-x+1/2,-y+1/2,z'
'x+1/2,y+1/2,-z'
'y,-x+1/2,z'
'-y,x+1/2,-z'
'x+1/2,-y,-z'
'-x+1/2,y,z'
'-y,-x,-z'
'y,x,z'
'-x,y+1/2,-z'
'x,-y+1/2,z'
'y+1/2,x+1/2,-z'
'-y+1/2,-x+1/2,z'
loop_
_atom_site_label
_atom_site_type_symbol
_atom_site_fract_x
_atom_site_fract_y
_atom_site_fract_z
Pm1 Pm 0.250 0.250 0.245
Al1 Al 0.250 0.250 0.872
Al2 Al 0.250 0.750 0.500
Cu1 Cu 0.250 0.250 0.633
Cu2 Cu 0.250 0.750 0.000
```

The calculation returns the following uncorrected energy values, one per record and in order: -159.4, -79.9, -125.0, -45.0 eV/cell.
The calculation returns the following N(E_F) values, one per record and in order: 9.3, 12.3, 9.5, 2.6 states/eV/f.u..
The calculation returns the following M_tot values, one per record and in order: 0.00, 0.00, 0.00, 0.00 μB per formula unit.